(1)
Mo2Ir3Rh4: relaxed, PBE.

Cell lengths 4.8172, 7.0339, 8.5423 Å; angles 71.72, 73.79, 90.01 degrees
Atoms (fractional coordinates):
1 Mo 0.6212 0.8642 0.6097
2 Mo 0.8319 0.4139 0.1646
3 Mo 0.3788 0.1358 0.3903
4 Mo 0.1681 0.5861 0.8354
5 Ir 0.0559 0.9710 0.7230
6 Ir 0.3868 0.3068 0.0602
7 Ir 0.9441 0.0290 0.2770
8 Ir 0.6132 0.6932 0.9398
9 Ir 0.2830 0.3588 0.6115
10 Ir 0.7170 0.6412 0.3885
11 Rh 0.4984 0.0801 0.8350
12 Rh 0.9496 0.1978 0.9387
13 Rh 0.5016 0.9199 0.1650
14 Rh 0.0504 0.8022 0.0613
15 Rh 0.1658 0.7461 0.4991
16 Rh 0.2780 0.5255 0.2825
17 Rh 0.8342 0.2539 0.5009
18 Rh 0.7220 0.4745 0.7175

- DFT total energy: -0.3235 Ha/atom

***

(2)
NdThSbTe: relaxed, PBE.

Cell lengths 5.4711, 5.4711, 5.4711 Å; angles 60.00, 60.00, 60.00 degrees
Atoms (fractional coordinates):
1 Sb 0.7500 0.7500 0.7500
2 Te 0.2500 0.2500 0.2500
3 Nd 0.5000 0.5000 0.5000
4 Th 0.0000 0.0000 0.0000

- DFT total energy: -0.2170 Ha/atom

***

(3)
Y2SeN: relaxed, PBE.

Cell lengths 4.7062, 4.7062, 4.7062 Å; angles 60.00, 60.00, 60.00 degrees
Atoms (fractional coordinates):
1 Y 0.2500 0.2500 0.2500
2 Y 0.7500 0.7500 0.7500
3 Se 0.5000 0.5000 0.5000
4 N 0.0000 0.0000 0.0000

- DFT total energy: -0.2564 Ha/atom

***

(4)
Ba2Sr2Sn3: relaxed, PBE.

Cell lengths 5.0174, 7.9980, 8.6002 Å; angles 117.96, 90.00, 108.28 degrees
Atoms (fractional coordinates):
1 Ba 0.8909 0.7817 0.2194
2 Ba 0.1091 0.2183 0.7806
3 Sr 0.8432 0.6863 0.7188
4 Sr 0.1568 0.3137 0.2812
5 Sn 0.5000 0.0000 0.0000
6 Sn 0.5850 0.1699 0.4616
7 Sn 0.4150 0.8301 0.5384

- DFT total energy: -0.1213 Ha/atom

***

(5)
KAl2Re: relaxed, PBE.

Cell lengths 7.3253, 5.1346, 2.7552 Å; angles 90.15, 67.68, 127.70 degrees
Atoms (fractional coordinates):
1 Re 0.5000 0.5000 0.0000
2 K 0.0000 0.5000 0.5000
3 Al 0.0000 0.0000 0.0000
4 Al 0.5000 0.0000 0.5000

- DFT total energy: -0.1643 Ha/atom

***

(6)
AcPmInAu: relaxed, PBE.

Cell lengths 5.5327, 5.5327, 5.5327 Å; angles 60.00, 60.00, 60.00 degrees
Atoms (fractional coordinates):
1 Ac 0.2500 0.2500 0.2500
2 In 0.5000 0.5000 0.5000
3 Au 0.0000 0.0000 0.0000
4 Pm 0.7500 0.7500 0.7500

- DFT total energy: -0.1562 Ha/atom

***

(7)
NiOsCl2: relaxed, PBE.

Cell lengths 7.7204, 7.7204, 7.7204 Å; angles 158.03, 153.70, 34.52 degrees
Each line ends with the local moment (μB).
Atoms (fractional coordinates):
1 Ni 0.4418 0.4418 0.0000  0.84
2 Os 0.3029 0.8029 0.5000  0.24
3 Cl 0.0092 0.0092 0.0000  0.12
4 Cl 0.7461 0.2461 0.5000  -0.01

- DFT total energy: -0.1652 Ha/atom

***

(8)
HgTeRu4: relaxed, PBE.

Cell lengths 5.2763, 5.2763, 5.2763 Å; angles 60.00, 60.00, 60.00 degrees
Each line ends with the local moment (μB).
Atoms (fractional coordinates):
1 Hg 0.0000 0.0000 0.0000  -0.02
2 Te 0.7500 0.7500 0.7500  -0.03
3 Ru 0.8745 0.3752 0.3752  0.51
4 Ru 0.3752 0.3752 0.8745  0.51
5 Ru 0.3752 0.8745 0.3752  0.51
6 Ru 0.3752 0.3752 0.3752  0.51

- DFT total energy: -0.2229 Ha/atom

***

The records above give, respectively, calculated volume values of 263, 116, 74, 285, 72, 120, 76, 104 Å³ per cell.